Density functional theory data (PBE) for a relaxed Tb2DyY2Mg2 crystal.

Output
M_tot = 0.000 μB per formula unit
Energy = -30.09 eV per cell
D(E_F) = 1.262 states/eV/atom
Formation energy = -0.015 eV per atom

a = 8.6018 Å, b = 8.6018 Å, c = 8.6018 Å
α = 37.04°, β = 37.04°, γ = 37.04°
Sites, in units of the cell vectors:
Tb 0.0739 0.0739 0.0739
Tb 0.9261 0.9261 0.9261
Dy 0.5000 0.5000 0.5000
Y 0.3455 0.3455 0.3455
Y 0.6545 0.6545 0.6545
Mg 0.2113 0.2113 0.2113
Mg 0.7887 0.7887 0.7887

Density functional theory data (PBE) for a relaxed TbDy2Y2Mg2 crystal.

Output
M_tot = 0.000 μB per formula unit
Energy = -30.07 eV per cell
D(E_F) = 1.166 states/eV/atom
Formation energy = -0.017 eV per atom

a = 8.5943 Å, b = 8.5943 Å, c = 8.5943 Å
α = 37.03°, β = 37.03°, γ = 37.03°
Sites, in units of the cell vectors:
Tb 0.0000 0.0000 0.0000
Dy 0.4265 0.4265 0.4265
Dy 0.5735 0.5735 0.5735
Y 0.1548 0.1548 0.1548
Y 0.8452 0.8452 0.8452
Mg 0.2889 0.2889 0.2889
Mg 0.7111 0.7111 0.7111

Density functional theory data (PBE) for a relaxed Tb4Dy2YMg crystal.

Output
M_tot = 0.000 μB per formula unit
Energy = -35.63 eV per cell
D(E_F) = 1.497 states/eV/atom
Formation energy = 0.020 eV per atom

a = 4.9706 Å, b = 4.9816 Å, c = 9.9589 Å
α = 90.00°, β = 90.00°, γ = 90.00°
Sites, in units of the cell vectors:
Tb 0.0000 0.0000 0.2469
Tb 0.0000 0.0000 0.7531
Tb 0.5000 0.5000 0.2468
Tb 0.5000 0.5000 0.7532
Dy 0.0000 0.5000 0.0000
Dy 0.5000 0.0000 0.5000
Y 0.0000 0.5000 0.5000
Mg 0.5000 0.0000 0.0000

Density functional theory data (PBE) for a relaxed TbDy2YMg crystal.

Output
M_tot = 0.000 μB per formula unit
Energy = -43.67 eV per cell
D(E_F) = 1.388 states/eV/atom
Formation energy = 0.011 eV per atom

a = 6.1105 Å, b = 5.5565 Å, c = 9.3811 Å
α = 90.00°, β = 108.35°, γ = 90.00°
Sites, in units of the cell vectors:
Tb 0.1714 0.2500 0.4984
Tb 0.8286 0.7500 0.5016
Dy 0.3766 0.2500 0.8978
Dy 0.4503 0.7500 0.7028
Dy 0.5497 0.2500 0.2972
Dy 0.6234 0.7500 0.1022
Y 0.0361 0.7500 0.8924
Y 0.9639 0.2500 0.1076
Mg 0.2236 0.7500 0.2997
Mg 0.7764 0.2500 0.7003

Density functional theory data (PBE) for a relaxed Dy6Mg2Tc crystal.

Output
M_tot = 0.000 μB per formula unit
E above lowest polymorph = 207 meV per atom
Energy = -39.42 eV per cell
D(E_F) = 0.768 states/eV/atom
Formation energy = 0.194 eV per atom

a = 7.4271 Å, b = 7.4271 Å, c = 7.4271 Å
α = 136.09°, β = 108.13°, γ = 88.19°
Sites, in units of the cell vectors:
Dy 0.1242 0.3432 0.7810
Dy 0.1753 0.0000 0.1753
Dy 0.4378 0.6568 0.7810
Dy 0.5622 0.3432 0.2190
Dy 0.8247 0.0000 0.8247
Dy 0.8758 0.6568 0.2190
Mg 0.3499 0.8499 0.5000
Mg 0.6501 0.1501 0.5000
Tc 0.0000 0.5000 0.5000

Density functional theory data (PBE) for a relaxed DyMgTc crystal.

Output
M_tot = 0.000 μB per formula unit
Energy = -33.08 eV per cell
D(E_F) = 0.920 states/eV/atom
Formation energy = 0.007 eV per atom

a = 8.9094 Å, b = 8.9094 Å, c = 4.0013 Å
α = 90.00°, β = 90.00°, γ = 152.64°
Sites, in units of the cell vectors:
Dy 0.0922 0.9078 0.7500
Dy 0.9078 0.0922 0.2500
Mg 0.2969 0.7031 0.7500
Mg 0.7031 0.2969 0.2500
Tc 0.4635 0.5365 0.7500
Tc 0.5365 0.4635 0.2500

Density functional theory data (PBE) for a relaxed Dy8Mg2Tc crystal.

Output
M_tot = 0.000 μB per formula unit
Energy = -50.45 eV per cell
D(E_F) = 1.008 states/eV/atom
Formation energy = -0.007 eV per atom

a = 9.1032 Å, b = 9.1032 Å, c = 7.0216 Å
α = 109.83°, β = 109.83°, γ = 35.36°
Sites, in units of the cell vectors:
Dy 0.0140 0.0140 0.2770
Dy 0.1903 0.1903 0.7368
Dy 0.3580 0.3580 0.5832
Dy 0.3953 0.3953 0.1002
Dy 0.6047 0.6047 0.8998
Dy 0.6420 0.6420 0.4168
Dy 0.8097 0.8097 0.2632
Dy 0.9860 0.9860 0.7230
Mg 0.1876 0.1876 0.1902
Mg 0.8124 0.8124 0.8098
Tc 0.5000 0.5000 0.5000

Density functional theory data (PBE) for a relaxed Dy6Mg3Tc crystal.

Output
M_tot = 0.000 μB per formula unit
Energy = -86.29 eV per cell
D(E_F) = 0.926 states/eV/atom
Formation energy = -0.038 eV per atom

a = 9.3129 Å, b = 5.3814 Å, c = 11.3070 Å
α = 90.00°, β = 107.71°, γ = 90.00°
Sites, in units of the cell vectors:
Dy 0.0425 0.2500 0.4189
Dy 0.2053 0.7500 0.1702
Dy 0.2948 0.2500 0.0098
Dy 0.3434 0.7500 0.8277
Dy 0.3775 0.2500 0.3418
Dy 0.3981 0.2500 0.6497
Dy 0.6019 0.7500 0.3503
Dy 0.6225 0.7500 0.6582
Dy 0.6566 0.2500 0.1723
Dy 0.7052 0.7500 0.9902
Dy 0.7947 0.2500 0.8298
Dy 0.9575 0.7500 0.5811
Mg 0.0104 0.7500 0.8796
Mg 0.0858 0.2500 0.7245
Mg 0.2663 0.7500 0.4761
Mg 0.7337 0.2500 0.5239
Mg 0.9142 0.7500 0.2755
Mg 0.9896 0.2500 0.1204
Tc 0.4680 0.7500 0.0966
Tc 0.5320 0.2500 0.9034

Density functional theory data (PBE) for a relaxed Dy6MgTc crystal.

Output
M_tot = 0.000 μB per formula unit
Energy = -37.55 eV per cell
D(E_F) = 1.370 states/eV/atom
Formation energy = 0.253 eV per atom

a = 6.8038 Å, b = 6.8789 Å, c = 7.4361 Å
α = 63.05°, β = 63.61°, γ = 60.46°
Sites, in units of the cell vectors:
Dy 0.0312 0.4193 0.2603
Dy 0.2144 0.9711 0.7413
Dy 0.4171 0.7899 0.2596
Dy 0.5829 0.2101 0.7404
Dy 0.7856 0.0289 0.2587
Dy 0.9688 0.5807 0.7397
Mg 0.5000 0.5000 0.0000
Tc 0.0000 0.0000 0.5000

Density functional theory data (PBE) for a relaxed Dy3Mg2Tc crystal.

Output
M_tot = 0.000 μB per formula unit
Energy = -55.69 eV per cell
D(E_F) = 1.016 states/eV/atom
Formation energy = -0.081 eV per atom

a = 7.8892 Å, b = 7.8892 Å, c = 7.9695 Å
α = 90.00°, β = 90.00°, γ = 142.73°
Sites, in units of the cell vectors:
Dy 0.0000 0.0000 0.2181
Dy 0.0000 0.0000 0.7819
Dy 0.3248 0.6752 0.2089
Dy 0.3248 0.6752 0.7911
Dy 0.6752 0.3248 0.2089
Dy 0.6752 0.3248 0.7911
Mg 0.1654 0.8346 0.5000
Mg 0.5000 0.5000 0.0000
Mg 0.5000 0.5000 0.5000
Mg 0.8346 0.1654 0.5000
Tc 0.1598 0.8402 0.0000
Tc 0.8402 0.1598 0.0000

Density functional theory data (PBE) for a relaxed Dy6MgTc2 crystal.

Output
M_tot = 0.001 μB per formula unit
Energy = -101.02 eV per cell
D(E_F) = 1.165 states/eV/atom
Formation energy = -0.063 eV per atom

a = 8.5560 Å, b = 8.5560 Å, c = 8.5560 Å
α = 111.82°, β = 111.64°, γ = 105.05°
Sites, in units of the cell vectors:
Dy 0.0199 0.2341 0.7858
Dy 0.1904 0.2835 0.4739
Dy 0.1904 0.7165 0.9069
Dy 0.3134 0.0178 0.7044
Dy 0.3134 0.6090 0.2956
Dy 0.4484 0.2341 0.2142
Dy 0.5516 0.7659 0.7858
Dy 0.6866 0.3910 0.7044
Dy 0.6866 0.9822 0.2956
Dy 0.8096 0.2835 0.0931
Dy 0.8096 0.7165 0.5261
Dy 0.9801 0.7659 0.2142
Mg 0.0000 0.0000 0.0000
Mg 0.5000 0.5000 0.0000
Tc 0.1148 0.6148 0.5000
Tc 0.3708 0.0000 0.3708
Tc 0.6292 0.0000 0.6292
Tc 0.8852 0.3852 0.5000

Density functional theory data (PBE) for a relaxed Dy6Mg2Tc crystal.

Output
M_tot = 0.001 μB per formula unit
E above lowest polymorph = 0 meV per atom
Energy = -41.28 eV per cell
D(E_F) = 1.483 states/eV/atom
Formation energy = -0.013 eV per atom

a = 3.6853 Å, b = 8.8493 Å, c = 8.8493 Å
α = 118.91°, β = 90.00°, γ = 90.00°
Sites, in units of the cell vectors:
Dy 0.0000 0.0000 0.0000
Dy 0.0000 0.5055 0.7408
Dy 0.0000 0.7408 0.5055
Dy 0.5000 0.1227 0.7465
Dy 0.5000 0.3588 0.3588
Dy 0.5000 0.7465 0.1227
Mg 0.0000 0.0777 0.4145
Mg 0.0000 0.4145 0.0777
Tc 0.5000 0.7644 0.7644

Density functional theory data (PBE) for a relaxed DyMgTc4 crystal.

Output
M_tot = 0.000 μB per formula unit
Energy = -47.70 eV per cell
D(E_F) = 0.712 states/eV/atom
Formation energy = -0.007 eV per atom

a = 5.3109 Å, b = 5.3109 Å, c = 5.3109 Å
α = 60.00°, β = 60.00°, γ = 60.00°
Sites, in units of the cell vectors:
Dy 0.0000 0.0000 0.0000
Mg 0.7500 0.7500 0.7500
Tc 0.3755 0.3755 0.3755
Tc 0.3755 0.3755 0.8736
Tc 0.3755 0.8736 0.3755
Tc 0.8736 0.3755 0.3755

Density functional theory data (PBE) for a relaxed DyMgZrTc crystal.

Output
M_tot = 0.000 μB per formula unit
Energy = -25.29 eV per cell
D(E_F) = 0.971 states/eV/atom
Formation energy = -0.046 eV per atom

a = 4.9044 Å, b = 4.9044 Å, c = 4.9044 Å
α = 60.00°, β = 60.00°, γ = 60.00°
Sites, in units of the cell vectors:
Dy 0.0000 0.0000 0.0000
Mg 0.2500 0.2500 0.2500
Zr 0.5000 0.5000 0.5000
Tc 0.7500 0.7500 0.7500

Density functional theory data (PBE) for a relaxed Dy3MgTe4 crystal.

Output
M_tot = 0.000 μB per formula unit
Formation energy from raw total energies = -1.154 eV/atom
Energy = -37.20 eV per cell
D(E_F) = 0.519 states/eV/atom

a = 14.9370 Å, b = 14.9370 Å, c = 14.9370 Å
α = 16.35°, β = 16.35°, γ = 16.35°
Sites, in units of the cell vectors:
Dy 0.0000 0.0000 0.0000
Dy 0.2511 0.2511 0.2511
Dy 0.7489 0.7489 0.7489
Mg 0.5000 0.5000 0.5000
Te 0.1268 0.1268 0.1268
Te 0.3749 0.3749 0.3749
Te 0.6251 0.6251 0.6251
Te 0.8732 0.8732 0.8732

Density functional theory data (PBE) for a relaxed Dy3MgTe6 crystal.

Output
M_tot = 0.000 μB per formula unit
Formation energy from raw total energies = -1.135 eV/atom
Energy = -91.21 eV per cell
D(E_F) = 0.417 states/eV/atom

a = 9.3894 Å, b = 9.3894 Å, c = 7.5326 Å
α = 90.00°, β = 90.00°, γ = 99.54°
Sites, in units of the cell vectors:
Dy 0.0964 0.9036 0.5000
Dy 0.2265 0.4213 0.6003
Dy 0.4213 0.2265 0.1003
Dy 0.5787 0.7735 0.6003
Dy 0.7735 0.5787 0.1003
Dy 0.9036 0.0964 0.0000
Mg 0.2877 0.7123 0.1268
Mg 0.7123 0.2877 0.6268
Te 0.0463 0.5966 0.3313
Te 0.1257 0.2049 0.2978
Te 0.2049 0.1257 0.7978
Te 0.2712 0.7288 0.7586
Te 0.4034 0.9537 0.3313
Te 0.4634 0.5366 0.2988
Te 0.5366 0.4634 0.7988
Te 0.5966 0.0463 0.8313
Te 0.7288 0.2712 0.2586
Te 0.7951 0.8743 0.2978
Te 0.8743 0.7951 0.7978
Te 0.9537 0.4034 0.8313

Density functional theory data (PBE) for a relaxed Dy6MgTe8 crystal.

Output
M_tot = 0.000 μB per formula unit
Formation energy from raw total energies = -1.279 eV/atom
Energy = -73.53 eV per cell
D(E_F) = 0.327 states/eV/atom

a = 8.6845 Å, b = 8.6845 Å, c = 8.6845 Å
α = 60.00°, β = 60.00°, γ = 60.00°
Sites, in units of the cell vectors:
Dy 0.0000 0.0000 0.5000
Dy 0.0000 0.5000 0.0000
Dy 0.0000 0.5000 0.5000
Dy 0.5000 0.0000 0.0000
Dy 0.5000 0.0000 0.5000
Dy 0.5000 0.5000 0.0000
Mg 0.0000 0.0000 0.0000
Te 0.2466 0.2466 0.7534
Te 0.2466 0.7534 0.2466
Te 0.2466 0.7534 0.7534
Te 0.2500 0.2500 0.2500
Te 0.7500 0.7500 0.7500
Te 0.7534 0.2466 0.2466
Te 0.7534 0.2466 0.7534
Te 0.7534 0.7534 0.2466

Density functional theory data (PBE) for a relaxed DyMgTe2 crystal.

Output
M_tot = 0.658 μB per formula unit
E above lowest polymorph = 0 meV per atom
Formation energy from raw total energies = -1.031 eV/atom
Energy = -16.60 eV per cell
D(E_F) = 0.415 states/eV/atom

a = 7.8004 Å, b = 7.8004 Å, c = 7.8004 Å
α = 31.18°, β = 31.18°, γ = 31.18°
Sites, in units of the cell vectors:
Dy 0.0000 0.0000 0.0000
Mg 0.1654 0.1654 0.1654
Te 0.5757 0.5757 0.5757
Te 0.7540 0.7540 0.7540

Density functional theory data (PBE) for a relaxed DyMgTe3 crystal.

Output
M_tot = 0.000 μB per formula unit
Formation energy from raw total energies = -0.914 eV/atom
Energy = -40.38 eV per cell
D(E_F) = 0.378 states/eV/atom

a = 6.5920 Å, b = 4.4947 Å, c = 12.5049 Å
α = 90.00°, β = 102.83°, γ = 90.00°
Sites, in units of the cell vectors:
Dy 0.0146 0.2500 0.3371
Dy 0.9854 0.7500 0.6629
Mg 0.4899 0.2500 0.8846
Mg 0.5101 0.7500 0.1154
Te 0.2393 0.2500 0.5824
Te 0.2402 0.7500 0.8995
Te 0.2888 0.7500 0.2813
Te 0.7112 0.2500 0.7187
Te 0.7598 0.2500 0.1005
Te 0.7607 0.7500 0.4176

Density functional theory data (PBE) for a relaxed DyMgTe2 crystal.

Output
M_tot = 0.265 μB per formula unit
E above lowest polymorph = 233 meV per atom
Formation energy from raw total energies = -0.798 eV/atom
Energy = -47.02 eV per cell
D(E_F) = 0.692 states/eV/atom

a = 4.3619 Å, b = 4.3619 Å, c = 27.3574 Å
α = 90.00°, β = 90.00°, γ = 120.00°
Sites, in units of the cell vectors:
Dy 0.0000 0.6712 0.3333
Dy 0.3288 0.3288 0.0000
Dy 0.6712 0.0000 0.6667
Mg 0.0000 0.6501 0.8333
Mg 0.3499 0.3499 0.5000
Mg 0.6501 0.0000 0.1667
Te 0.0047 0.6672 0.7310
Te 0.3328 0.3375 0.3976
Te 0.3375 0.3328 0.6024
Te 0.6625 0.9953 0.0643
Te 0.6672 0.0047 0.2690
Te 0.9953 0.6625 0.9357

Density functional theory data (PBE) for a relaxed DyMg2Te4 crystal.

Output
M_tot = 0.000 μB per formula unit
Formation energy from raw total energies = -0.900 eV/atom
Energy = -53.31 eV per cell
D(E_F) = 0.432 states/eV/atom

a = 7.2545 Å, b = 7.2545 Å, c = 14.3267 Å
α = 90.00°, β = 90.00°, γ = 147.02°
Sites, in units of the cell vectors:
Dy 0.1170 0.8830 0.7500
Dy 0.8830 0.1170 0.2500
Mg 0.3658 0.6342 0.5704
Mg 0.3658 0.6342 0.9296
Mg 0.6342 0.3658 0.0704
Mg 0.6342 0.3658 0.4296
Te 0.0000 0.0000 0.0000
Te 0.0000 0.0000 0.5000
Te 0.2836 0.7164 0.1168
Te 0.2836 0.7164 0.3832
Te 0.4533 0.5467 0.7500
Te 0.5467 0.4533 0.2500
Te 0.7164 0.2836 0.6168
Te 0.7164 0.2836 0.8832

Density functional theory data (PBE) for a relaxed DyMgTe2 crystal.

Output
M_tot = 0.000 μB per formula unit
E above lowest polymorph = 16 meV per atom
Formation energy from raw total energies = -1.015 eV/atom
Energy = -16.54 eV per cell
D(E_F) = 0.541 states/eV/atom

a = 7.8591 Å, b = 7.8591 Å, c = 7.8591 Å
α = 30.82°, β = 30.82°, γ = 30.82°
Sites, in units of the cell vectors:
Dy 0.0000 0.0000 0.0000
Mg 0.5000 0.5000 0.5000
Te 0.2458 0.2458 0.2458
Te 0.7542 0.7542 0.7542